# ScNiSb2Te | Alexandria via LeMat-Bulk | PBE | relaxed
# * raw formation energy: 6 kJ/mol of atoms
# * energy above the most stable polymorph in this dataset: 0 meV per atom
data_ScNiSb2Te
_symmetry_space_group_name_H-M 'P 4/m m m'
_symmetry_Int_Tables_number 123
_symmetry_space_group_name_Hall '-P 4 2'
_cell_length_a 4.920
_cell_length_b 4.920
_cell_length_c 5.268
_cell_angle_alpha 90.00
_cell_angle_beta 90.00
_cell_angle_gamma 90.00
loop_
_atom_site_label
_atom_site_type_symbol
_atom_site_fract_x
_atom_site_fract_y
_atom_site_fract_z
_atom_site_occupancy
Sc1 Sc 0.000 0.000 0.000 1
Ni1 Ni 0.500 0.500 0.500 1
Sb1 Sb 0.000 0.500 0.500 1
Te1 Te 0.500 0.500 0.000 1

***

# Tb3Nd4S8 | Alexandria via LeMat-Bulk | PBE | relaxed
# * raw formation energy: -196 kJ/mol of atoms
data_Tb3Nd4S8
_symmetry_space_group_name_H-M 'C 1 2/m 1'
_symmetry_Int_Tables_number 12
_cell_length_a 11.304
_cell_length_b 11.309
_cell_length_c 7.984
_cell_angle_alpha 90.00
_cell_angle_beta 134.89
_cell_angle_gamma 90.00
loop_
_symmetry_equiv_pos_as_xyz
'x,y,z'
'-x,-y,-z'
'-x,y,-z'
'x,-y,z'
'x+1/2,y+1/2,z'
'-x+1/2,-y+1/2,-z'
'-x+1/2,y+1/2,-z'
'x+1/2,-y+1/2,z'
loop_
_atom_site_label
_atom_site_type_symbol
_atom_site_fract_x
_atom_site_fract_y
_atom_site_fract_z
_atom_site_occupancy
Tb1 Tb 0.000 0.000 0.000 1
Tb2 Tb 0.250 0.250 0.500 1
Nd1 Nd 0.000 0.000 0.500 1
Nd2 Nd 0.000 0.500 0.000 1
Nd3 Nd 0.250 0.250 0.000 1
S1 S 0.000 0.246 0.000 1
S2 S 0.000 0.253 0.500 1
S3 S 0.249 0.000 0.006 1
S4 S 0.249 0.000 0.492 1

***

# KGaHg2 | Alexandria via LeMat-Bulk | PBE | relaxed
# * ΔE_f: -126 meV/atom
data_KGaHg2
_symmetry_space_group_name_H-M 'R -3 m'
_symmetry_Int_Tables_number 166
_symmetry_space_group_name_Hall '-R 3 2"'
_cell_length_a 4.9346
_cell_length_b 4.9346
_cell_length_c 17.8104
_cell_angle_alpha 90.00
_cell_angle_beta 90.00
_cell_angle_gamma 120.00
loop_
_atom_site_label
_atom_site_type_symbol
_atom_site_fract_x
_atom_site_fract_y
_atom_site_fract_z
_atom_site_occupancy
K1 K 0.0000 0.0000 0.0000 1
Ga1 Ga 0.0000 0.0000 0.5000 1
Hg1 Hg 0.0000 0.0000 0.2106 1

***

# TmTa3N6 | Alexandria via LeMat-Bulk | PBE | relaxed
# * raw formation energy: -112 kJ/mol of atoms
data_TmTa3N6
_symmetry_space_group_name_H-M 'P 1 21/m 1'
_symmetry_Int_Tables_number 11
_cell_length_a 8.658
_cell_length_b 3.125
_cell_length_c 8.902
_cell_angle_alpha 90.00
_cell_angle_beta 107.92
_cell_angle_gamma 90.00
loop_
_symmetry_equiv_pos_as_xyz
'x,y,z'
'-x,-y,-z'
'-x,y+1/2,-z'
'x,-y+1/2,z'
loop_
_atom_site_label
_atom_site_type_symbol
_atom_site_fract_x
_atom_site_fract_y
_atom_site_fract_z
_atom_site_occupancy
Tm1 Tm 0.061 0.250 0.195 1
Ta1 Ta 0.162 0.250 0.587 1
Ta2 Ta 0.315 0.750 0.988 1
Ta3 Ta 0.457 0.250 0.325 1
N1 N 0.081 0.750 0.413 1
N2 N 0.139 0.250 0.961 1
N3 N 0.212 0.750 0.740 1
N4 N 0.289 0.750 0.238 1
N5 N 0.393 0.250 0.554 1
N6 N 0.478 0.250 0.106 1

***

# SiOs3Pt | Alexandria via LeMat-Bulk | PBE | relaxed
# * raw formation energy: 122 kJ/mol of atoms
# * energy above the most stable polymorph in this dataset: 0 meV per atom
data_SiOs3Pt
_symmetry_space_group_name_H-M 'P m -3 m'
_symmetry_Int_Tables_number 221
_symmetry_space_group_name_Hall '-P 4 2 3'
_cell_length_a 4.349
_cell_length_b 4.349
_cell_length_c 4.349
_cell_angle_alpha 90.00
_cell_angle_beta 90.00
_cell_angle_gamma 90.00
loop_
_atom_site_label
_atom_site_type_symbol
_atom_site_fract_x
_atom_site_fract_y
_atom_site_fract_z
_atom_site_occupancy
Si1 Si 0.000 0.000 0.000 1
Os1 Os 0.000 0.000 0.500 1
Pt1 Pt 0.500 0.500 0.500 1

***

# BaLiCd3Ag | Alexandria via LeMat-Bulk | PBE | relaxed
# * ΔE_f: -175 meV/atom
data_BaLiCd3Ag
_symmetry_space_group_name_H-M 'C m c m'
_symmetry_Int_Tables_number 63
_symmetry_space_group_name_Hall '-C 2c 2'
_cell_length_a 7.142
_cell_length_b 13.990
_cell_length_c 6.241
_cell_angle_alpha 90.00
_cell_angle_beta 90.00
_cell_angle_gamma 90.00
loop_
_atom_site_label
_atom_site_type_symbol
_atom_site_fract_x
_atom_site_fract_y
_atom_site_fract_z
_atom_site_occupancy
Ba1 Ba 0.000 0.222 0.250 1
Li1 Li 0.000 0.448 0.250 1
Cd1 Cd 0.000 0.358 0.750 1
Cd2 Cd 0.208 0.000 0.000 1
Ag1 Ag 0.000 0.148 0.750 1

***

Calculated E_tot in order - -4.64 -6.43 -1.31 -10.16 -7.76 -1.75 eV/atom
Calculated spin magnetization in order - 0.000 0.000 0.000 0.000 0.000 0.000 μB per atom